(1)
Co3SnSe | Alexandria via LeMat-Bulk | PBE | optimized geometry; raw formation energy = 0.510 eV/atom; total magnetic moment = 3.08 μB/f.u.
1.0
4.382 0.000 0.000
0.000 4.382 0.000
0.000 0.000 4.382
Co Sn Se
3 1 1
Direct
0.000 0.500 0.000
0.000 0.000 0.500
0.500 0.000 0.000
0.500 0.500 0.500
0.000 0.000 0.000



(2)
VCo2Mo | Alexandria via LeMat-Bulk | PBE | optimized geometry; ΔH_f (0 K) = 0.101 eV per atom; total magnetic moment = 4.48 μB/f.u.
1.0
0.000 2.959 2.959
2.959 0.000 2.959
2.959 2.959 0.000
Mo Co V
1 2 1
Direct
0.500 0.500 0.500
0.250 0.250 0.250
0.750 0.750 0.750
0.000 0.000 0.000



(3)
MnCu2Pt2 | Alexandria via LeMat-Bulk | PBE | optimized geometry; ΔH_f (0 K) = 0.001 eV per atom; total magnetic moment = 4.40 μB/f.u.
1.0
-2.389 -2.300 -0.465
1.787 -1.353 -2.488
2.762 -5.901 2.940
Mn Cu Pt
1 2 2
Direct
0.000 0.000 0.000
0.750 0.250 0.500
0.250 0.750 0.500
0.399 0.399 0.201
0.601 0.601 0.799



(4)
Ho2Mg3NpN6 | Alexandria via LeMat-Bulk | PBE | optimized geometry; raw formation energy = -1.198 eV/atom; total magnetic moment = 1.00 μB/f.u.
1.0
-5.756 -0.148 -0.922
2.962 -4.953 0.832
0.095 2.056 5.161
Ho Mg Np N
2 3 1 6
Direct
0.333 0.667 0.000
0.667 0.333 0.000
0.161 0.839 0.500
0.839 0.161 0.500
0.500 0.500 0.500
0.000 0.000 0.000
0.919 0.608 0.756
0.768 0.768 0.233
0.081 0.392 0.244
0.608 0.919 0.756
0.232 0.232 0.767
0.392 0.081 0.244



- Look up the total magnetic moment of the first one.
  3.08 μB/f.u.



- Among the records above, which one has the highest total magnetic moment?
  VCo2Mo



- Among the records above, which one has the lowest total magnetic moment?
  Ho2Mg3NpN6



Please write out number 1 again, unchanged.
Co3SnSe | Alexandria via LeMat-Bulk | PBE | optimized geometry; raw formation energy = 0.510 eV/atom; total magnetic moment = 3.08 μB/f.u.
1.0
4.382 0.000 0.000
0.000 4.382 0.000
0.000 0.000 4.382
Co Sn Se
3 1 1
Direct
0.000 0.500 0.000
0.000 0.000 0.500
0.500 0.000 0.000
0.500 0.500 0.500
0.000 0.000 0.000